[1]
Pr12Tm5Sc2, optimized geometry, DFT PBE; space group = C2/m; DOS(E_F) = 27.8 states/eV/f.u.; density = 6.81 g cm⁻³; formation energy from the elements = 0.1732 eV/atom; size of the total moment = 0.0 μB per formula unit
1.0
-2.7751 -3.9376 6.1597
9.5514 -2.3368 -2.1541
6.1500 4.6515 5.7442
Pr Sc Tm
12 2 5
Cartesian
2.6975 -1.6134 2.4657
1.1981 -3.7409 5.7938
12.0735 -1.0064 4.7962
7.5783 -5.2463 5.0241
3.6296 -1.9192 7.9372
5.3480 3.6234 4.7257
10.2287 -0.0094 7.2841
0.8527 -0.6165 4.9536
9.2966 0.2963 1.8126
7.8624 -1.7386 4.9961
5.0639 0.1158 4.7537
11.7281 2.1181 3.9560
-1.8679 -2.6503 4.1459
-0.9073 -1.2873 2.0138
6.6121 0.1614 8.0457
6.3141 -1.7842 1.7041
3.0750 2.3257 2.8721
4.6512 -3.5054 4.8182
8.2751 1.8826 4.9316

=====

[2]
PrTm3Sc6, optimized geometry, DFT PBE; space group = Cmc2_1; DOS(E_F) = 13.6 states/eV/f.u.; density = 5.58 g cm⁻³; formation energy from the elements = 0.1582 eV/atom; size of the total moment = 0.0 μB per formula unit
1.0
-4.1854 0.0470 -4.1005
-6.3790 -4.9884 6.4540
0.1600 10.3538 -0.0446
Tm Sc Pr
6 12 2
Cartesian
-4.4891 2.5988 -3.4956
-3.7530 -0.6077 -0.0971
-6.1565 1.1370 1.5421
-7.7425 2.8342 4.0144
-2.7235 4.2583 2.2603
-8.4786 6.0407 0.6160
-5.9671 4.4434 1.8609
-4.9656 -0.3992 3.9837
-9.7864 0.8399 2.7993
-4.8648 7.4537 2.0382
-6.4589 -2.0309 -0.6300
-2.4388 0.9466 2.4060
-7.8447 -4.2188 4.3876
-1.5373 4.5829 -1.3911
-4.0373 9.6479 -3.5262
-3.8351 2.6041 -0.3363
-4.5707 2.7860 4.6032
-4.4260 5.8003 -0.6825
-7.8435 -1.6824 2.2655
-2.0024 7.0886 0.5906

=====

[3]
PrTmSc2, optimized geometry, DFT PBE; space group = I4/mmm; DOS(E_F) = 6.8 states/eV/f.u.; density = 5.82 g cm⁻³; formation energy from the elements = 0.0602 eV/atom; size of the total moment = 0.0 μB per formula unit
1.0
-1.3526 1.3354 4.5962
-5.2388 -1.8382 1.6835
-1.3884 -4.3714 3.5526
Tm Pr Sc
1 1 2
Cartesian
-3.0597 -1.5448 5.8536
-5.6971 -5.3173 6.1735
-3.7019 -4.0987 3.7155
-6.3038 -2.1646 5.0790

=====

[4]
PrTm6Sc2, optimized geometry, DFT PBE; space group = C2/m; DOS(E_F) = 12.8 states/eV/f.u.; density = 7.82 g cm⁻³; formation energy from the elements = 0.0441 eV/atom; size of the total moment = 0.0 μB per formula unit
1.0
-1.6503 -1.8573 -2.4202
5.3254 -0.7095 -5.5722
6.6725 -9.3097 0.1091
Tm Sc Pr
6 2 1
Cartesian
6.2013 -6.4349 -1.7757
3.0151 -5.5180 -2.7922
4.1464 -5.4416 -6.1076
2.5686 -2.6946 -4.6544
7.3325 -6.3585 -5.0911
7.7791 -9.1819 -3.2289
8.8051 -9.0826 -6.4902
1.5425 -2.7939 -1.3932
0.0000 0.0000 0.0000

=====

[5]
Pr8Tm5Sc, optimized geometry, DFT PBE; space group = C2; DOS(E_F) = 21.2 states/eV/f.u.; density = 7.01 g cm⁻³; formation energy from the elements = 0.1786 eV/atom; size of the total moment = 0.0 μB per formula unit
1.0
7.7867 1.8019 -3.6686
-2.5748 7.9154 -3.6196
-0.9543 -1.8019 8.5546
Tm Pr Sc
5 8 1
Cartesian
6.2470 3.6370 -3.6630
0.1235 -0.1375 2.2432
3.4097 0.0000 2.4384
-0.4121 8.0530 -4.2279
3.7651 6.0803 -0.1923
-1.4140 4.9802 1.1654
1.2822 6.8280 2.0368
1.5124 1.5012 5.7224
3.3292 6.4142 -4.0383
1.8622 3.2074 1.0659
4.9033 2.9352 -0.4484
-0.9642 4.7080 -2.2019
6.5995 1.0874 1.8214
-0.3842 3.0567 3.4546

=====

[6]
PrTm15Sc4, optimized geometry, DFT PBE; space group = P4/mmm; DOS(E_F) = 31.4 states/eV/f.u.; density = 8.13 g cm⁻³; formation energy from the elements = 0.0442 eV/atom; size of the total moment = 0.0 μB per formula unit
1.0
-2.1029 4.3337 0.7990
-3.2633 -0.9365 -3.5094
-14.8266 -10.2401 16.5195
Tm Sc Pr
15 4 1
Cartesian
-5.5383 -0.9320 5.3986
-8.6337 -2.4113 5.2749
-9.0449 -5.5883 6.5051
-11.5590 -4.4317 8.5342
-11.9713 -7.6095 9.7656
-8.4647 -2.9532 8.6592
-11.3912 -4.9744 11.9198
-5.7180 -0.3975 2.0262
-6.1185 -3.5672 3.2445
-3.1912 -1.5454 -0.0170
-14.3185 -6.9961 15.1813
-2.6110 1.0897 2.1371
-14.4747 -6.4454 11.7828
-14.8986 -9.6312 13.0271
-2.6831 1.6986 -1.3552
-11.8081 -8.1554 13.1564
-5.9518 -4.1107 6.6314
-8.8747 -6.1294 9.8881
-3.0184 -2.0847 3.3631
0.0000 0.0000 0.0000

=====

[7]
Pr3Tm2Sc2, optimized geometry, DFT PBE; space group = P-1; DOS(E_F) = 10.0 states/eV/f.u.; density = 6.50 g cm⁻³; formation energy from the elements = 0.0505 eV/atom; size of the total moment = 0.0 μB per formula unit
1.0
3.5021 -0.0014 -0.0283
-1.7782 7.4831 -3.4212
0.0717 -0.4883 8.5144
Sc Tm Pr
2 2 3
Cartesian
0.0261 0.8303 3.2233
1.7694 6.1632 1.8417
1.8011 1.5520 6.0413
-0.0056 5.4414 -0.9763
1.7609 2.9360 1.0408
0.0346 4.0574 4.0242
0.0000 0.0000 0.0000

=====

[8]
PrTm12Sc2, optimized geometry, DFT PBE; space group = Cmmm; DOS(E_F) = 23.2 states/eV/f.u.; density = 8.19 g cm⁻³; formation energy from the elements = 0.1251 eV/atom; size of the total moment = 0.0 μB per formula unit
1.0
-5.3258 -2.4167 0.9315
3.4003 -4.2051 -2.4139
11.3002 3.7049 27.4945
Tm Pr Sc
24 2 4
Cartesian
6.6218 0.2314 23.9140
3.6750 -1.1028 16.9408
5.8628 -3.6880 17.2641
9.7933 0.9328 25.0459
3.5119 0.7711 8.7481
7.8075 -1.3568 21.0902
5.8281 0.6104 14.8756
8.8306 -2.3781 24.3047
4.8654 -2.7005 14.1344
8.7702 1.9541 21.8314
5.6998 -1.8141 9.0714
-0.4186 -3.8497 0.9663
2.5492 -2.5398 8.0069
1.3367 -0.9198 10.7440
4.5094 -0.2164 11.8778
8.0380 -1.9970 15.2680
6.8256 -0.3771 18.0053
3.5466 -3.5273 11.1366
-1.6101 -2.2541 3.7709
1.5673 -1.5601 4.9219
0.5442 -0.5388 1.7075
0.6045 -4.8710 4.1808
10.9849 -0.6628 22.2414
2.7529 -3.1483 2.0980
-2.6629 -1.2084 0.4658
7.6746 -0.8143 27.2190
5.6206 1.2324 20.7673
-0.6089 -3.2551 6.9176
3.7541 -4.1494 5.2447
9.9837 0.3383 19.0947

=====

[9]
Pr2TmSc2, optimized geometry, DFT PBE; space group = Cmcm; DOS(E_F) = 8.5 states/eV/f.u.; density = 5.64 g cm⁻³; formation energy from the elements = 0.3069 eV/atom; size of the total moment = 0.0 μB per formula unit
1.0
-3.5879 2.8933 -3.9835
-5.0204 -0.3007 4.3035
4.7150 7.0935 0.9054
Pr Sc Tm
4 4 2
Cartesian
-3.7747 6.5117 1.1421
-0.9368 7.6941 -0.5552
-2.9566 1.9919 1.7807
-0.1187 3.1744 0.0833
-0.7491 5.2626 2.1679
-3.1443 4.4234 -0.9425
-5.7815 4.2655 1.3182
1.8881 5.4206 -0.0927
0.0000 0.0000 0.0000
-1.7940 1.4466 -1.9917

=====

[10]
PrTm4Sc, optimized geometry, DFT PBE; space group = Pmmm; DOS(E_F) = 12.2 states/eV/f.u.; density = 7.62 g cm⁻³; formation energy from the elements = 0.1861 eV/atom; size of the total moment = 0.0 μB per formula unit
1.0
-0.9635 3.1436 -0.8433
-2.6054 0.5537 5.0665
8.1526 3.5224 3.8075
Tm Sc Pr
4 1 1
Cartesian
0.9888 2.1998 0.2743
3.4577 5.8862 4.3724
6.2292 4.4637 2.7218
0.1913 4.4746 2.8469
-1.7700 1.8474 2.1276
3.1272 4.9035 1.0764

=====

[11]
Pr4Tm4Sc, optimized geometry, DFT PBE; space group = I4/mmm; DOS(E_F) = 15.4 states/eV/f.u.; density = 7.37 g cm⁻³; formation energy from the elements = 0.0421 eV/atom; size of the total moment = 0.0 μB per formula unit
1.0
-0.8294 -1.4380 4.7745
4.5243 -6.3887 1.5376
5.1822 3.8067 4.7227
Tm Pr Sc
4 4 1
Cartesian
7.4635 -4.7794 7.8846
1.4136 0.7593 3.1501
2.4962 -5.2556 4.2024
6.3809 1.2355 6.8324
4.9668 0.4732 3.6813
2.6153 -1.8123 5.2602
6.2617 -2.2078 5.7746
3.9102 -4.4933 7.3535
0.0000 0.0000 0.0000

=====

[12]
PrTm6Sc2, optimized geometry, DFT PBE; space group = P-6m2; DOS(E_F) = 17.1 states/eV/f.u.; density = 7.67 g cm⁻³; formation energy from the elements = 0.0658 eV/atom; size of the total moment = 0.0 μB per formula unit
1.0
-2.6990 2.1958 0.3814
1.6601 -1.2393 2.8213
15.9539 19.7347 -0.7182
Tm Pr Sc
6 1 2
Cartesian
3.8398 4.3993 1.8444
7.1276 8.4663 1.6964
12.8358 18.4696 0.5608
9.2404 11.0798 1.6013
12.5282 15.1468 1.4533
0.6262 3.3665 1.1104
0.2071 -0.0943 2.0080
4.0406 7.5901 0.9567
9.4214 14.2460 0.7145